# 1
MnZnMo (PBE-GGA, optimized geometry); electronic total energy = -20.8 eV for the cell shown; space group = Imm2; DOS at the Fermi energy = 0.7124 states/eV/atom; crystal system = orthorhombic
1.0
-0.1140 3.8179 -2.5976
-4.1079 1.9921 -0.7026
3.1849 -1.3143 3.0767
Mo Zn Mn
1 1 1
Direct
0.6682 0.6682 0.0000
0.3355 0.3355 0.0000
0.9963 0.9963 0.0000


# 2
LaSi (PBE-GGA, optimized geometry); electronic total energy = -67.1 eV for the cell shown; space group = P6_3/mmc; DOS at the Fermi energy = 1.1898 states/eV/atom; crystal system = hexagonal; formation energy (no corrections) = -0.414 eV/atom
1.0
-5.9991 -8.4344 -0.2421
9.8465 -0.5589 -3.1496
1.1182 -0.9002 3.6554
Si La
6 6
Direct
0.5398 0.0796 0.7500
0.4602 0.9204 0.2500
0.0796 0.5398 0.2500
0.4602 0.5398 0.2500
0.5398 0.4602 0.7500
0.9204 0.4602 0.7500
0.3940 0.1970 0.2500
0.1970 0.8030 0.7500
0.6060 0.8030 0.7500
0.8030 0.1970 0.2500
0.8030 0.6060 0.2500
0.1970 0.3940 0.7500


# 3
Sr2LiIrO4 (PBE-GGA, optimized geometry); electronic total energy = -94.0 eV for the cell shown; space group = Fddd; crystal system = orthorhombic; formation energy (no corrections) = -1.628 eV/atom
1.0
-0.0951 3.7490 2.7672
3.2989 -1.0470 5.4568
7.3181 4.9172 -2.4854
Sr Li O Ir
4 2 8 2
Direct
0.9267 0.5000 0.1467
0.8233 0.0000 0.3533
0.5733 0.5000 0.8533
0.1767 0.0000 0.6467
0.2500 0.5000 0.5000
0.5000 0.0000 0.0000
0.6258 0.2542 0.0907
0.4664 0.7542 0.4093
0.7794 0.7542 0.5907
0.1200 0.2542 0.9093
0.9706 0.7458 0.9093
0.1242 0.2458 0.4093
0.2836 0.7458 0.0907
0.6300 0.2458 0.5907
0.0000 0.0000 0.0000
0.7500 0.5000 0.5000


# 4
NaLiPb2 (PBE-GGA, optimized geometry); electronic total energy = -21.4 eV for the cell shown; space group = I-42d; DOS at the Fermi energy = 0.5125 states/eV/atom; crystal system = tetragonal
1.0
-2.5143 1.6934 -3.5401
1.0727 -3.7476 -2.5545
-9.3206 -6.0231 0.6708
Pb Li Na
4 2 2
Direct
0.6109 0.1250 0.2500
0.1391 0.6250 0.2500
0.3750 0.3891 0.7500
0.8750 0.8609 0.7500
0.2500 0.7500 0.5000
0.5000 0.5000 0.0000
0.7500 0.2500 0.5000
0.0000 0.0000 0.0000


# 5
LaCePuN3 (PBE-GGA, optimized geometry); electronic total energy = -112.1 eV for the cell shown; space group = P2_1/m; DOS at the Fermi energy = 0.7305 states/eV/atom; crystal system = monoclinic; formation energy (no corrections) = -0.978 eV/atom
1.0
-3.4006 1.4895 -0.2682
-1.4741 -2.1260 6.8836
3.1826 7.6008 1.8606
La N Ce Pu
2 6 2 2
Direct
0.2500 0.1606 0.1450
0.7500 0.8394 0.8550
0.7500 0.2204 0.5793
0.2500 0.1059 0.8458
0.2500 0.7796 0.4207
0.7500 0.3997 0.1127
0.7500 0.8941 0.1542
0.2500 0.6003 0.8873
0.7500 0.3663 0.8421
0.2500 0.6337 0.1579
0.7500 0.9462 0.4240
0.2500 0.0538 0.5760


# 6
DyMgHgPd (PBE-GGA, optimized geometry); electronic total energy = -14.0 eV for the cell shown; space group = F-43m; DOS at the Fermi energy = 0.9407 states/eV/atom; crystal system = cubic
1.0
-2.8925 -3.5000 1.9056
-2.5335 -2.9923 -2.9791
1.2795 -4.7383 -0.3984
Mg Pd Dy Hg
1 1 1 1
Direct
0.7500 0.7500 0.7500
0.0000 0.0000 0.0000
0.2500 0.2500 0.2500
0.5000 0.5000 0.5000


What is the electronic total energy in the sixth record?
-14.0 eV for the cell shown